# 1
This record from the Alexandria database describes a relaxed BaSi2Sb crystal. The functional is PBE.

Properties
Its density of states at the Fermi level is 2.6 states/eV/f.u. The calculation puts the electronic total energy at -32.3 eV per cell. Its magnetization is 0.00 Bohr magnetons per cell.

Unit cell a=3.806 b=5.917 c=9.836 alpha=90.00 beta=90.00 gamma=90.00
Fractional positions:
Ba 0.000 0.000 0.000
Ba 0.500 0.500 0.500
Si 0.000 0.500 0.207
Si 0.000 0.500 0.793
Si 0.500 0.000 0.293
Si 0.500 0.000 0.707
Sb 0.000 0.000 0.500
Sb 0.500 0.500 0.000

***

# 2
This record from the Alexandria database describes a relaxed YZr2W crystal. The functional is PBE.

Properties
For the energy above the most stable polymorph in this dataset, the calculation gives 0.140 eV/atom. Its density of states at the Fermi level is 4.8 states/eV/f.u. The calculation puts the electronic total energy at -35.3 eV per cell. Its magnetization is 0.00 Bohr magnetons per cell.

Unit cell a=3.114 b=4.807 c=6.185 alpha=90.00 beta=102.59 gamma=90.00
Fractional positions:
Y 0.000 0.000 0.000
Zr 0.166 0.000 0.531
Zr 0.596 0.500 0.307
W 0.495 0.500 0.751

***

# 3
This record from the Alexandria database describes a relaxed AcMgZnRh crystal. The functional is PBE.

Properties
For the energy above the most stable polymorph in this dataset, the calculation gives 0.000 eV/atom. Its density of states at the Fermi level is 3.1 states/eV/f.u. The calculation puts the electronic total energy at -48.2 eV per cell. Its magnetization is 0.00 Bohr magnetons per cell.

Unit cell a=4.577 b=4.577 c=15.640 alpha=90.00 beta=90.00 gamma=120.00
Fractional positions:
Ac 0.000 0.000 0.000
Ac 0.333 0.667 0.667
Ac 0.667 0.333 0.333
Mg 0.000 0.000 0.488
Mg 0.333 0.667 0.154
Mg 0.667 0.333 0.821
Zn 0.000 0.000 0.201
Zn 0.333 0.667 0.868
Zn 0.667 0.333 0.535
Rh 0.000 0.000 0.803
Rh 0.333 0.667 0.470
Rh 0.667 0.333 0.136

***

# 4
This record from the Alexandria database describes a relaxed In4Re crystal. The functional is PBE.

Properties
For the energy above the most stable polymorph in this dataset, the calculation gives 0.275 eV/atom. Its density of states at the Fermi level is 4.4 states/eV/f.u. The calculation puts the electronic total energy at -21.3 eV per cell. Its magnetization is 0.00 Bohr magnetons per cell.

Unit cell a=5.270 b=5.270 c=5.270 alpha=90.00 beta=90.00 gamma=90.00
Fractional positions:
In 0.000 0.000 0.000
In 0.000 0.500 0.500
In 0.500 0.000 0.500
In 0.500 0.500 0.000
Re 0.500 0.500 0.500

***

# 5
This record from the Alexandria database describes a relaxed NpPIr crystal. The functional is PBE.

Properties
Its density of states at the Fermi level is 6.1 states/eV/f.u. The calculation puts the electronic total energy at -167.7 eV per cell. Its magnetization is 22.00 Bohr magnetons per cell.

Unit cell a=5.851 b=5.851 c=11.580 alpha=90.00 beta=90.00 gamma=120.00
Fractional positions:
Np 0.000 0.000 0.000
Np 0.000 0.000 0.333
Np 0.000 0.000 0.667
Np 0.000 0.500 0.167
Np 0.500 0.000 0.500
Np 0.500 0.500 0.833
P 0.000 0.500 0.455
P 0.000 0.500 0.878
P 0.500 0.000 0.211
P 0.500 0.000 0.789
P 0.500 0.500 0.122
P 0.500 0.500 0.545
Ir 0.252 0.626 0.667
Ir 0.374 0.626 0.333
Ir 0.374 0.748 0.000
Ir 0.626 0.252 0.000
Ir 0.626 0.374 0.333
Ir 0.748 0.374 0.667

***

# 6
This record from the Alexandria database describes a relaxed Ag3SnGe crystal. The functional is PBE.

Properties
For the energy above the most stable polymorph in this dataset, the calculation gives 0.000 eV/atom. Its density of states at the Fermi level is 2.5 states/eV/f.u. The calculation puts the electronic total energy at -15.2 eV per cell. Its magnetization is 0.00 Bohr magnetons per cell.

Unit cell a=4.939 b=4.939 c=4.939 alpha=90.00 beta=90.00 gamma=90.00
Fractional positions:
Ag 0.000 0.000 0.500
Ag 0.000 0.500 0.000
Ag 0.500 0.000 0.000
Sn 0.500 0.500 0.500
Ge 0.000 0.000 0.000

***

# 7
This record from the Alexandria database describes a relaxed Nd3Ho2Er3 crystal. The functional is PBE.

Properties
For the energy above the most stable polymorph in this dataset, the calculation gives 0.104 eV/atom. Its density of states at the Fermi level is 17.5 states/eV/f.u. The calculation puts the electronic total energy at -72.3 eV per cell. Its magnetization is 0.00 Bohr magnetons per cell.

Unit cell a=5.936 b=5.941 c=14.759 alpha=90.00 beta=90.00 gamma=90.00
Fractional positions:
Nd 0.000 0.000 0.000
Nd 0.000 0.500 0.129
Nd 0.000 0.500 0.871
Nd 0.500 0.000 0.371
Nd 0.500 0.000 0.629
Nd 0.500 0.500 0.500
Ho 0.000 0.000 0.252
Ho 0.000 0.000 0.748
Ho 0.500 0.500 0.248
Ho 0.500 0.500 0.752
Er 0.000 0.000 0.500
Er 0.000 0.500 0.375
Er 0.000 0.500 0.625
Er 0.500 0.000 0.125
Er 0.500 0.000 0.875
Er 0.500 0.500 0.000

***

# 8
This record from the Alexandria database describes a relaxed LiAcIO6 crystal. The functional is PBE.

Properties
Its density of states at the Fermi level is 7.7 states/eV/f.u. The calculation puts the electronic total energy at -50.5 eV per cell. Its magnetization is 1.06 Bohr magnetons per cell.

Unit cell a=5.347 b=5.347 c=5.276 alpha=90.00 beta=90.00 gamma=120.00
Fractional positions:
Li 0.000 0.000 0.000
Ac 0.667 0.333 0.500
I 0.333 0.667 0.000
O 0.055 0.367 0.207
O 0.055 0.688 0.793
O 0.312 0.367 0.793
O 0.312 0.945 0.207
O 0.633 0.688 0.207
O 0.633 0.945 0.793

***

# 9
This record from the Alexandria database describes a relaxed ScAlOF2 crystal. The functional is PBE.

Properties
For the energy above the most stable polymorph in this dataset, the calculation gives 0.000 eV/atom. Its density of states at the Fermi level is 0.0 states/eV/f.u. The calculation puts the electronic total energy at -31.6 eV per cell. Its magnetization is 0.00 Bohr magnetons per cell.

Unit cell a=4.226 b=4.226 c=4.064 alpha=90.00 beta=90.00 gamma=90.00
Fractional positions:
Sc 0.000 0.000 0.000
Al 0.500 0.500 0.500
O 0.000 0.000 0.500
F 0.000 0.500 0.000
F 0.500 0.000 0.000

***

# 10
This record from the Alexandria database describes a relaxed AlNiSb2 crystal. The functional is PBE.

Properties
Its density of states at the Fermi level is 2.7 states/eV/f.u. The calculation puts the electronic total energy at -33.5 eV per cell. Its magnetization is 0.00 Bohr magnetons per cell.

Unit cell a=6.349 b=7.516 c=3.330 alpha=90.00 beta=90.00 gamma=90.00
Fractional positions:
Al 0.000 0.000 0.000
Al 0.500 0.500 0.000
Ni 0.000 0.500 0.000
Ni 0.500 0.000 0.000
Sb 0.250 0.250 0.500
Sb 0.250 0.750 0.500
Sb 0.750 0.250 0.500
Sb 0.750 0.750 0.500

***

# 11
This record from the Alexandria database describes a relaxed NbHW crystal. The functional is PBE.

Properties
For the energy above the most stable polymorph in this dataset, the calculation gives 0.011 eV/atom. Its density of states at the Fermi level is 1.0 states/eV/f.u. The calculation puts the electronic total energy at -26.5 eV per cell. Its magnetization is 0.00 Bohr magnetons per cell.

Unit cell a=2.877 b=4.738 c=2.877 alpha=90.00 beta=109.54 gamma=90.00
Fractional positions:
Nb 0.000 0.000 0.000
H 0.000 0.275 0.500
W 0.500 0.528 0.500

***

# 12
This record from the Alexandria database describes a relaxed LiPm2Tl8 crystal. The functional is PBE.

Properties
Its density of states at the Fermi level is 3.5 states/eV/f.u. The calculation puts the electronic total energy at -33.0 eV per cell. Its magnetization is 0.00 Bohr magnetons per cell.

Unit cell a=4.856 b=4.856 c=12.683 alpha=90.00 beta=90.00 gamma=90.00
Fractional positions:
Li 0.000 0.000 0.000
Pm 0.000 0.000 0.312
Pm 0.000 0.000 0.688
Tl 0.000 0.500 0.127
Tl 0.000 0.500 0.500
Tl 0.000 0.500 0.873
Tl 0.500 0.000 0.127
Tl 0.500 0.000 0.500
Tl 0.500 0.000 0.873
Tl 0.500 0.500 0.312
Tl 0.500 0.500 0.688

***

# 13
This record from the Alexandria database describes a relaxed Hg2BrCl crystal. The functional is PBE.

Properties
For the energy above the most stable polymorph in this dataset, the calculation gives 0.300 eV/atom. Its density of states at the Fermi level is 2.7 states/eV/f.u. The calculation puts the electronic total energy at -4.3 eV per cell. Its magnetization is 0.00 Bohr magnetons per cell.

Unit cell a=3.733 b=3.733 c=7.399 alpha=90.00 beta=90.00 gamma=90.00
Fractional positions:
Hg 0.000 0.000 0.242
Hg 0.000 0.000 0.758
Br 0.500 0.500 0.500
Cl 0.500 0.500 0.000

***

# 14
This record from the Alexandria database describes a relaxed YRe2Pb crystal. The functional is PBE.

Properties
Its density of states at the Fermi level is 1.7 states/eV/f.u. The calculation puts the electronic total energy at -34.5 eV per cell. Its magnetization is 0.00 Bohr magnetons per cell.

Unit cell a=3.146 b=3.146 c=8.402 alpha=90.00 beta=90.00 gamma=90.00
Fractional positions:
Y 0.000 0.000 0.000
Re 0.000 0.000 0.588
Re 0.500 0.500 0.756
Pb 0.500 0.500 0.334

***

# 15
This record from the Alexandria database describes a relaxed Sr2CaAc5 crystal. The functional is PBE.

Properties
Its density of states at the Fermi level is 14.0 states/eV/f.u. The calculation puts the electronic total energy at -50.8 eV per cell. Its magnetization is 0.00 Bohr magnetons per cell.

Unit cell a=5.623 b=5.623 c=23.380 alpha=90.00 beta=90.00 gamma=90.00
Fractional positions:
Sr 0.000 0.000 0.249
Sr 0.000 0.000 0.751
Sr 0.500 0.500 0.251
Sr 0.500 0.500 0.749
Ca 0.000 0.000 0.500
Ca 0.500 0.500 0.000
Ac 0.000 0.000 0.000
Ac 0.000 0.500 0.119
Ac 0.000 0.500 0.381
Ac 0.000 0.500 0.619
Ac 0.000 0.500 0.881
Ac 0.500 0.000 0.119
Ac 0.500 0.000 0.381
Ac 0.500 0.000 0.619
Ac 0.500 0.000 0.881
Ac 0.500 0.500 0.500

***

# 16
This record from the Alexandria database describes a relaxed KCuBr2 crystal. The functional is PBE.

Properties
For the energy above the most stable polymorph in this dataset, the calculation gives 0.000 eV/atom. Its density of states at the Fermi level is 0.0 states/eV/f.u. The calculation puts the electronic total energy at -25.1 eV per cell. Its magnetization is 0.15 Bohr magnetons per cell.

Unit cell a=5.180 b=7.570 c=7.809 alpha=63.79 beta=89.86 gamma=70.01
Fractional positions:
K 0.000 0.000 0.000
K 0.402 0.203 0.457
Cu 0.455 0.601 0.728
Cu 0.953 0.603 0.728
Br 0.055 0.896 0.461
Br 0.346 0.308 0.995
Br 0.614 0.773 0.896
Br 0.788 0.429 0.561

***

# 17
This record from the Alexandria database describes a relaxed NdTm3Tl4 crystal. The functional is PBE.

Properties
For the energy above the most stable polymorph in this dataset, the calculation gives 0.000 eV/atom. Its density of states at the Fermi level is 6.4 states/eV/f.u. The calculation puts the electronic total energy at -60.3 eV per cell. Its magnetization is 0.00 Bohr magnetons per cell.

Unit cell a=10.774 b=7.543 c=5.385 alpha=90.00 beta=90.00 gamma=90.00
Fractional positions:
Nd 0.000 0.000 0.000
Nd 0.500 0.000 0.000
Tm 0.000 0.500 0.000
Tm 0.250 0.000 0.499
Tm 0.250 0.500 0.498
Tm 0.500 0.500 0.000
Tm 0.750 0.000 0.501
Tm 0.750 0.500 0.502
Tl 0.000 0.258 0.500
Tl 0.000 0.742 0.500
Tl 0.250 0.258 0.998
Tl 0.250 0.742 0.998
Tl 0.500 0.258 0.500
Tl 0.500 0.742 0.500
Tl 0.750 0.258 0.002
Tl 0.750 0.742 0.002

***

# 18
This record from the Alexandria database describes a relaxed SiTc3 crystal. The functional is PBE.

Properties
For the energy above the most stable polymorph in this dataset, the calculation gives 0.361 eV/atom. Its density of states at the Fermi level is 3.6 states/eV/f.u. The calculation puts the electronic total energy at -72.3 eV per cell. Its magnetization is 0.00 Bohr magnetons per cell.

Unit cell a=2.960 b=4.605 c=8.362 alpha=90.00 beta=90.00 gamma=90.00
Fractional positions:
Si 0.000 0.000 0.000
Si 0.500 0.500 0.000
Tc 0.000 0.000 0.500
Tc 0.000 0.500 0.234
Tc 0.000 0.500 0.766
Tc 0.500 0.000 0.234
Tc 0.500 0.000 0.766
Tc 0.500 0.500 0.500

***

# 19
This record from the Alexandria database describes a relaxed Ca2Sn2Rh5Pb crystal. The functional is PBE.

Properties
Its density of states at the Fermi level is 3.5 states/eV/f.u. The calculation puts the electronic total energy at -113.6 eV per cell. Its magnetization is 0.00 Bohr magnetons per cell.

Unit cell a=10.260 b=10.260 c=3.727 alpha=90.00 beta=90.00 gamma=90.00
Fractional positions:
Ca 0.171 0.329 0.000
Ca 0.329 0.829 0.000
Ca 0.671 0.171 0.000
Ca 0.829 0.671 0.000
Sn 0.127 0.627 0.000
Sn 0.373 0.127 0.000
Sn 0.627 0.873 0.000
Sn 0.873 0.373 0.000
Rh 0.000 0.500 0.500
Rh 0.067 0.799 0.500
Rh 0.201 0.067 0.500
Rh 0.299 0.567 0.500
Rh 0.433 0.299 0.500
Rh 0.500 0.000 0.500
Rh 0.567 0.701 0.500
Rh 0.701 0.433 0.500
Rh 0.799 0.933 0.500
Rh 0.933 0.201 0.500
Pb 0.000 0.000 0.000
Pb 0.500 0.500 0.000

***

# 20
This record from the Alexandria database describes a relaxed VSiP2S crystal. The functional is PBE.

Properties
For the energy above the most stable polymorph in this dataset, the calculation gives 0.178 eV/atom. Its density of states at the Fermi level is 4.9 states/eV/f.u. The calculation puts the electronic total energy at -26.2 eV per cell. Its magnetization is 2.76 Bohr magnetons per cell.

Unit cell a=4.456 b=4.456 c=4.516 alpha=90.00 beta=90.00 gamma=90.00
Fractional positions:
V 0.000 0.000 0.000
Si 0.500 0.500 0.500
P 0.000 0.500 0.500
P 0.500 0.000 0.500
S 0.500 0.500 0.000